# 1
DFT (PBE) results for a relaxed structure of CdMoRh2.

Magnetic moment, μB per cell: 0.0
Formation energy, eV/atom: 0.121

a = 2.7994 Å, b = 2.7994 Å, c = 8.1262 Å
α = 90.00°, β = 90.00°, γ = 90.00°
Space group P4mm (No. 99)
Asymmetric unit:
Cd: 0.0000 0.0000 0.0000 [1 per cell]
Mo: 0.5000 0.5000 0.2841 [1 per cell]
Rh: 0.0000 0.0000 0.5087 [1 per cell]
Rh: 0.5000 0.5000 0.7467 [1 per cell]



# 2
DFT (PBE) results for a relaxed structure of CdMoRh2.

Magnetic moment, μB per cell: 0.0
Formation energy, eV/atom: -0.077

a = 2.8480 Å, b = 3.7222 Å, c = 6.0008 Å
α = 90.00°, β = 90.00°, γ = 90.00°
Space group Pmmm (No. 47)
Asymmetric unit:
Cd: 0.0000 0.0000 0.0000 [1 per cell]
Mo: 0.0000 0.0000 0.5000 [1 per cell]
Rh: 0.5000 0.5000 0.2716 [2 per cell]



# 3
DFT (PBE) results for a relaxed structure of CdMoRh2.

Magnetic moment, μB per cell: 0.0
Formation energy, eV/atom: 0.092

a = 9.1012 Å, b = 2.7899 Å, c = 5.0788 Å
α = 90.00°, β = 99.15°, γ = 90.00°
Space group C2/m (No. 12)
Asymmetric unit:
Cd: 0.0000 0.0000 0.0000 [2 per cell]
Mo: 0.0000 0.5000 0.5000 [2 per cell]
Rh: 0.2461 0.0000 0.7276 [4 per cell]



# 4
DFT (PBE) results for a relaxed structure of Cd2MoRh.

Magnetic moment, μB per cell: 0.0
E above lowest polymorph, meV/atom: 188
Formation energy, eV/atom: 0.199

a = 9.2752 Å, b = 2.8743 Å, c = 5.2923 Å
α = 90.00°, β = 97.93°, γ = 90.00°
Space group Cm (No. 8)
Asymmetric unit:
Cd: 0.0000 0.0000 0.0000 [2 per cell]
Cd: 0.2436 0.0000 0.7612 [2 per cell]
Mo: 0.4905 0.0000 0.4708 [2 per cell]
Rh: 0.2478 0.5000 0.2932 [2 per cell]



# 5
DFT (PBE) results for a relaxed structure of CdSbMoRh2.

Magnetic moment, μB per cell: 4.2
Energy relative to the elements, uncorrected, eV per atom: 1.619

a = 4.8651 Å, b = 4.8651 Å, c = 5.0344 Å
α = 90.00°, β = 90.00°, γ = 90.00°
Space group P4/mmm (No. 123)
Asymmetric unit:
Cd: 0.0000 0.0000 0.0000 [1 per cell]
Sb: 0.5000 0.5000 0.5000 [1 per cell]
Mo: 0.0000 0.0000 0.5000 [1 per cell]
Rh: 0.0000 0.5000 0.0000 [2 per cell]



# 6
DFT (PBE) results for a relaxed structure of ScCdMo2Rh.

Magnetic moment, μB per cell: 0.0
Formation energy, eV/atom: 0.911

a = 4.7547 Å, b = 4.7547 Å, c = 4.9022 Å
α = 90.00°, β = 90.00°, γ = 90.00°
Space group P4/mmm (No. 123)
Asymmetric unit:
Sc: 0.0000 0.0000 0.0000 [1 per cell]
Cd: 0.5000 0.5000 0.0000 [1 per cell]
Mo: 0.0000 0.5000 0.5000 [2 per cell]
Rh: 0.0000 0.0000 0.5000 [1 per cell]



Going through the records in order, we get volume values of 15.9, 15.9, 15.9, 17.5, 23.8, 22.2 A^3/atom.